(1)
A relaxed BaIr2Os crystal. Source: Alexandria, functional PBE-GGA.

abc: 6.1207 8.3755 2.9186
angles: 90.00 90.00 90.00
Space group Cmmm (No. 65)
Asymmetric unit:
Ba 0.0000 0.0000 0.0000 x2
Ir 0.2500 0.2500 0.5000 x4
Os 0.0000 0.5000 0.0000 x2

## Properties
As for the distance to the lowest polymorph of the same formula: 337 kJ/mol of formula units. The electronic total energy comes out at -6.727 eV/atom. The formation energy comes out at 0.991 eV per atom.



(2)
A relaxed SrEuZnPb crystal. Source: Alexandria, functional PBE-GGA.

abc: 7.9411 7.9411 7.9411
angles: 90.00 90.00 90.00
Space group F-43m (No. 216)
Asymmetric unit:
Sr 0.0000 0.0000 0.0000 x4
Eu 0.0000 0.0000 0.5000 x4
Zn 0.2500 0.2500 0.7500 x4
Pb 0.2500 0.2500 0.2500 x4

## Properties
The electronic total energy comes out at -4.667 eV/atom. The formation energy comes out at -0.432 eV per atom.



(3)
A relaxed LiIn2P crystal. Source: Alexandria, functional PBE-GGA.

abc: 8.5991 8.5991 5.1319
angles: 90.00 90.00 90.00
Space group I-42d (No. 122)
Asymmetric unit:
Li 0.0000 0.0000 0.0000 x4
In 0.1745 0.7500 0.6250 x8
P 0.0000 0.0000 0.5000 x4

## Properties
The electronic total energy comes out at -3.394 eV/atom. The formation energy comes out at -0.194 eV per atom.



(4)
A relaxed Pm2YMn crystal. Source: Alexandria, functional PBE-GGA.

abc: 3.6287 3.6287 8.8085
angles: 90.00 90.00 90.00
Space group P4/mmm (No. 123)
Asymmetric unit:
Pm 0.0000 0.0000 0.2062 x2
Y 0.5000 0.5000 0.5000 x1
Mn 0.5000 0.5000 0.0000 x1

## Properties
As for the distance to the lowest polymorph of the same formula: 0 kJ/mol of formula units. The electronic total energy comes out at -6.118 eV/atom. The formation energy comes out at 0.166 eV per atom.



(5)
A relaxed Pm3Cu7Ni2 crystal. Source: Alexandria, functional PBE-GGA.

abc: 5.1352 5.1352 25.6142
angles: 90.00 90.00 120.00
Space group R-3m (No. 166, hexagonal axes)
Asymmetric unit:
Pm 0.0000 0.0000 0.0000 x3
Pm 0.0000 0.0000 0.1408 x6
Cu 0.0000 0.0000 0.5000 x3
Cu 0.0009 0.5004 0.0795 x18
Ni 0.0000 0.0000 0.3325 x6

## Properties
The electronic total energy comes out at -4.713 eV/atom. The formation energy comes out at -0.173 eV per atom.



(6)
A relaxed PrNdDyN3 crystal. Source: Alexandria, functional PBE-GGA.

abc: 6.1755 3.5847 9.2830
angles: 90.00 101.74 90.00
Space group P2_1/m (No. 11)
Asymmetric unit:
Pr 0.1515 0.2500 0.1944 x2
Nd 0.2694 0.7500 0.5473 x2
Dy 0.3516 0.2500 0.8622 x2
N 0.0397 0.2500 0.6764 x2
N 0.2566 0.7500 0.9888 x2
N 0.4630 0.7500 0.3405 x2

## Properties
The value obtained for the raw formation energy is -7.84 eV/f.u. The electronic total energy comes out at -7.827 eV/atom.



(7)
A relaxed Pm3YHo2Se6 crystal. Source: Alexandria, functional PBE-GGA.

abc: 18.0774 4.0986 8.3404
angles: 90.00 104.47 90.00
Space group C2/m (No. 12)
Asymmetric unit:
Pm 0.0000 0.0000 0.0000 x2
Pm 0.1659 0.5000 0.3334 x4
Y 0.0000 0.0000 0.5000 x2
Ho 0.1664 0.5000 0.8332 x4
Se 0.0033 0.5000 0.7446 x4
Se 0.1648 0.0000 0.5918 x4
Se 0.1697 0.0000 0.0761 x4

## Properties
The value obtained for the raw formation energy is -21.48 eV/f.u. The electronic total energy comes out at -6.021 eV/atom.



(8)
A relaxed Pm3Nd3Ho5 crystal. Source: Alexandria, functional PBE-GGA.

abc: 9.6502 9.6502 5.5809
angles: 90.00 90.00 120.00
Space group P-62m (No. 189)
Asymmetric unit:
Pm 0.0000 0.3694 0.0000 x3
Nd 0.0000 0.5755 0.5000 x3
Ho 0.0000 0.7345 0.0000 x3
Ho 0.3333 0.6667 0.0000 x2

## Properties
The electronic total energy comes out at -3.914 eV/atom. The formation energy comes out at 0.762 eV per atom.



(9)
A relaxed TaAsPt4 crystal. Source: Alexandria, functional PBE-GGA.

abc: 7.4476 7.4476 7.4476
angles: 90.00 90.00 90.00
Space group F-43m (No. 216)
Asymmetric unit:
Ta 0.0000 0.0000 0.0000 x4
As 0.2500 0.2500 0.7500 x4
Pt 0.1254 0.1254 0.3746 x16

## Properties
The electronic total energy comes out at -6.724 eV/atom. The formation energy comes out at 0.054 eV per atom.



(10)
A relaxed CuNiAg3 crystal. Source: Alexandria, functional PBE-GGA.

abc: 4.7177 4.7177 4.7177
angles: 90.00 90.00 90.00
Space group Pm-3m (No. 221)
Asymmetric unit:
Cu 0.0000 0.0000 0.0000 x1
Ni 0.5000 0.5000 0.5000 x1
Ag 0.0000 0.0000 0.5000 x3

## Properties
As for the distance to the lowest polymorph of the same formula: 12 kJ/mol of formula units. The electronic total energy comes out at -2.697 eV/atom. The formation energy comes out at 0.989 eV per atom.



(11)
A relaxed TbDyCd17 crystal. Source: Alexandria, functional PBE-GGA.

abc: 10.0442 10.0442 15.0070
angles: 90.00 90.00 120.00
Space group R3m (No. 160, hexagonal axes)
Asymmetric unit:
Tb 0.0000 0.0000 0.0000 x3
Dy 0.0000 0.0000 0.6523 x3
Cd 0.0000 0.0000 0.2227 x3
Cd 0.0000 0.0000 0.4158 x3
Cd 0.0276 0.3594 0.9906 x18
Cd 0.1793 0.3585 0.8032 x9
Cd 0.1840 0.3680 0.1638 x9
Cd 0.1999 0.3997 0.5028 x9

## Properties
The electronic total energy comes out at -1.410 eV/atom. The formation energy comes out at -0.105 eV per atom.



(12)
A relaxed Sr2PbSe crystal. Source: Alexandria, functional PBE-GGA.

abc: 8.5835 8.5835 8.0739
angles: 90.00 90.00 90.00
Space group I-42d (No. 122)
Asymmetric unit:
Sr 0.2120 0.2500 0.1250 x8
Pb 0.0000 0.0000 0.5000 x4
Se 0.0000 0.0000 0.0000 x4

## Properties
The value obtained for the raw formation energy is -3.55 eV/f.u. As for the distance to the lowest polymorph of the same formula: 121 kJ/mol of formula units. The electronic total energy comes out at -3.527 eV/atom.